(1)
## K2Tl3GaBr6 (PBE)

Data for a relaxed K2Tl3GaBr6 crystal.

extended XYZ file:
```
12
Lattice="10.273 -2.353 0.000 10.273 2.353 0.000 -2.189 0.000 9.167" Properties=species:S:1:pos:R:3 pbc="T T T"
K 2.668 0.000 3.024
K 15.688 0.000 6.143
Tl 1.612 0.000 7.649
Tl 9.178 0.000 4.583
Tl 16.744 0.000 1.518
Ga 10.273 0.000 0.000
Br 20.021 0.000 2.177
Br -1.664 0.000 6.990
Br 5.905 0.000 3.859
Br 4.971 0.000 8.410
Br 13.385 0.000 0.757
Br 12.451 0.000 5.308
```

Summary:
* uncorrected energy: -35.55 eV per formula unit
* raw formation energy: -1.100 eV/atom
* crystal system: monoclinic
* theoretical density: 4.6 g/cm3
* symmetry: C2/m, No. 12

(2)
## YThNiPt (PBE)

Data for a relaxed YThNiPt crystal.

extended XYZ file:
```
8
Lattice="4.330 0.000 0.000 0.000 3.775 0.000 0.000 0.000 10.935" Properties=species:S:1:pos:R:3 pbc="T T T"
Y 0.000 0.000 0.000
Y 0.000 1.887 5.468
Th 2.165 0.000 7.915
Th 2.165 1.887 2.447
Ni 0.000 0.000 2.916
Ni 0.000 1.887 8.384
Pt 2.165 0.000 4.830
Pt 2.165 1.887 10.298
```

Summary:
* energy of formation: -857 meV per atom
* energy above the most stable polymorph in this dataset: 0.0 meV per atom
* uncorrected energy: -29.14 eV per formula unit
* crystal system: orthorhombic
* theoretical density: 10.7 g/cm3
* symmetry: Amm2, No. 38